# Pm2HoIn

A relaxed Pm2HoIn crystal (GGA-PBE, the Alexandria database).

CIF file:
```
data_Pm2HoIn
_chemical_formula_sum 'Pm2 Ho1 In1'
_space_group_name_H-M_alt 'P 4/m m m'
_space_group_IT_number 123
_space_group_name_Hall '-P 4 2'
_cell_length_a 3.6157
_cell_length_b 3.6157
_cell_length_c 9.4660
_cell_angle_alpha 90.00
_cell_angle_beta 90.00
_cell_angle_gamma 90.00
loop_
_atom_site_label
_atom_site_fract_x
_atom_site_fract_y
_atom_site_fract_z
Pm1 0.0000 0.0000 0.2285
Ho1 0.5000 0.5000 0.5000
In1 0.5000 0.5000 0.0000
```

calculated formation energy	-208	meV per atom